1.
Sc2TaIr2 after structural relaxation, computed with GGA-PBE.

Magnetization: 0.0 Bohr magnetons per cell
DOS at the Fermi energy: 10.940 states/eV per cell
ΔH_f (0 K): -649 meV/atom

Structure (extended XYZ):
```
10
Lattice="6.6825 0.0000 0.0000 0.0000 6.6825 0.0000 0.0000 0.0000 4.2684" Properties=species:S:1:pos:R:3 pbc="T T T"
Ir 4.2687 0.9274 0.0000
Ir 0.9274 2.4139 0.0000
Ir 2.4139 5.7551 0.0000
Ir 5.7551 4.2687 0.0000
Sc 1.1670 4.5082 2.1342
Sc 2.1743 1.1670 2.1342
Sc 4.5082 5.5156 2.1342
Sc 5.5156 2.1743 2.1342
Ta 3.3413 3.3413 0.0000
Ta 0.0000 0.0000 0.0000
```


2.
SmEr4Mg2 after structural relaxation, computed with GGA-PBE.

ΔE to the lowest computed polymorph: 0 meV/atom
Magnetization: 0.0 Bohr magnetons per cell
DOS at the Fermi energy: 6.924 states/eV per cell
ΔH_f (0 K): 38 meV/atom

Structure (extended XYZ):
```
7
Lattice="3.4564 0.0000 0.0000 0.0000 3.4844 -0.3151 0.0000 -0.1873 17.3509" Properties=species:S:1:pos:R:3 pbc="T T T"
Mg 1.7282 0.6623 7.3233
Mg 1.7282 2.6348 9.7124
Er 0.0000 2.1981 4.8842
Er 1.7282 3.0634 14.4516
Er 0.0000 1.0990 12.1516
Er 1.7282 0.2337 2.5842
Sm 0.0000 1.7422 -0.1576
```


3.
Ag3Os after structural relaxation, computed with GGA-PBE.

ΔE to the lowest computed polymorph: 210 meV/atom
Magnetization: 0.3 Bohr magnetons per cell
DOS at the Fermi energy: 2.160 states/eV per cell
ΔH_f (0 K): 611 meV/atom

Structure (extended XYZ):
```
4
Lattice="-0.8713 5.3787 -0.4421 -2.2187 -2.5643 4.2880 4.7303 -1.9495 -1.9261" Properties=species:S:1:pos:R:3 pbc="T T T"
Ag 0.0000 0.0000 0.0000
Ag -1.5450 1.4072 1.9230
Ag 1.2558 -2.2569 1.1810
Os 1.9295 1.7146 -1.1841
```


4.
ZnPAu2 after structural relaxation, computed with GGA-PBE.

ΔE to the lowest computed polymorph: 10 meV/atom
Magnetization: 0.0 Bohr magnetons per cell
DOS at the Fermi energy: 1.331 states/eV per cell
ΔH_f (0 K): 82 meV/atom

Structure (extended XYZ):
```
4
Lattice="3.6980 0.0000 0.0000 0.0000 2.7518 -0.2648 0.0000 0.6515 6.7511" Properties=species:S:1:pos:R:3 pbc="T T T"
P 1.8490 1.7017 3.2432
Zn 1.8490 0.0000 0.0000
Au 0.0000 1.8782 5.0680
Au 0.0000 1.5251 1.4183
```


5.
PrPaP2N6 after structural relaxation, computed with GGA-PBE.

Magnetization: 0.0 Bohr magnetons per cell
Formation energy without anion corrections: -0.86 eV/atom

Structure (extended XYZ):
```
20
Lattice="6.7747 -0.6929 0.1851 -1.5171 6.6389 0.1851 -1.3701 -1.5495 6.7029" Properties=species:S:1:pos:R:3 pbc="T T T"
Pr 4.9508 -1.1508 5.2122
Pr -1.0633 5.5474 1.8608
N 3.1053 1.7564 4.1066
N 0.4786 -0.3959 4.1592
N 5.1427 2.3761 1.9279
N 3.4090 4.7925 2.9139
N 3.6541 3.1953 6.2653
N 1.8395 0.3249 6.3179
N 0.7822 2.6401 2.9664
N 2.8440 -0.2236 1.7937
N 2.0481 4.0717 0.7552
N -1.2551 2.0205 5.1452
N 1.0436 4.6202 5.2793
N 0.2335 1.2012 0.8077
P 2.2836 5.1716 1.8907
P 4.1681 2.1249 5.2422
P -0.2805 2.2717 1.8309
P 1.6039 -0.7750 5.1823
Pa 2.8860 2.0554 1.8608
Pa 1.0016 2.3412 5.2122
```


6.
In2IrRu after structural relaxation, computed with GGA-PBE.

Magnetization: 0.0 Bohr magnetons per cell
DOS at the Fermi energy: 3.197 states/eV per cell
ΔH_f (0 K): 292 meV/atom

Structure (extended XYZ):
```
4
Lattice="-1.3307 0.5080 -2.6326 -0.1858 -2.7677 1.1248 -7.5292 2.2267 4.2356" Properties=species:S:1:pos:R:3 pbc="T T T"
In -7.5134 2.2220 4.2267
In -3.7804 1.1180 2.1267
Ru -6.4052 0.5402 2.4228
Ir -2.6406 -0.5732 0.3050
```


7.
MnSiSb4 after structural relaxation, computed with GGA-PBE.

Magnetization: 4.3 Bohr magnetons per cell
DOS at the Fermi energy: 3.125 states/eV per cell
Formation energy without anion corrections: 0.80 eV/atom

Structure (extended XYZ):
```
6
Lattice="0.0000 4.3350 4.3350 4.3350 0.0000 4.3350 4.3350 4.3350 0.0000" Properties=species:S:1:pos:R:3 pbc="T T T"
Sb 5.4189 3.2512 5.4189
Sb 5.4189 5.4189 3.2512
Sb 3.2512 5.4189 5.4189
Sb 3.2512 3.2512 3.2512
Mn 0.0000 0.0000 0.0000
Si 6.5026 6.5026 6.5026
```


8.
AcPr8Sn6 after structural relaxation, computed with GGA-PBE.

Magnetization: 0.0 Bohr magnetons per cell
DOS at the Fermi energy: 9.089 states/eV per cell
ΔH_f (0 K): -569 meV/atom

Structure (extended XYZ):
```
15
Lattice="9.5345 0.0000 0.0000 4.7673 8.2571 0.0000 4.7673 2.7524 6.6604" Properties=species:S:1:pos:R:3 pbc="T T T"
Pr 6.3506 5.4781 4.6006
Pr 7.9657 2.7341 2.0599
Pr 14.3018 8.2571 6.6446
Pr 12.7184 5.5315 2.0599
Pr 7.9195 8.2487 2.0599
Pr 4.7673 2.7524 0.0158
Pr 11.1496 2.7608 4.6006
Pr 11.1033 8.2754 4.6006
Ac 0.0000 0.0000 0.0000
Sn 6.3850 5.4503 1.3730
Sn 7.9126 8.2051 5.2874
Sn 12.6841 5.5592 5.2874
Sn 8.0069 2.7500 5.2874
Sn 11.0621 8.2596 1.3730
Sn 11.1565 2.8044 1.3730
```


9.
NaMn3Au after structural relaxation, computed with GGA-PBE.

ΔE to the lowest computed polymorph: 0 meV/atom
Magnetization: 13.3 Bohr magnetons per cell
DOS at the Fermi energy: 3.166 states/eV per cell
ΔH_f (0 K): 790 meV/atom

Structure (extended XYZ):
```
5
Lattice="5.0617 0.0000 0.0000 0.0000 5.0617 0.0000 0.0000 0.0000 5.0617" Properties=species:S:1:pos:R:3 pbc="T T T"
Mn 2.5308 0.0000 0.0000
Mn 0.0000 2.5308 0.0000
Mn 0.0000 0.0000 2.5308
Au 0.0000 0.0000 0.0000
Na 2.5308 2.5308 2.5308
```


10.
CoAsPt2 after structural relaxation, computed with GGA-PBE.

Magnetization: 1.3 Bohr magnetons per cell
DOS at the Fermi energy: 4.345 states/eV per cell
ΔH_f (0 K): 6 meV/atom

Structure (extended XYZ):
```
4
Lattice="-5.8425 4.7141 -3.9035 -7.0259 4.5296 -1.3097 -5.0564 6.5295 -1.8423" Properties=species:S:1:pos:R:3 pbc="T T T"
Pt -0.1155 0.1016 -0.0455
Pt -4.3841 3.8578 -1.7257
Co -13.5618 11.9339 -5.3382
As -8.8258 7.7664 -3.4740
```


11.
LaCo2Au after structural relaxation, computed with GGA-PBE.

Magnetization: 1.4 Bohr magnetons per cell
DOS at the Fermi energy: 4.456 states/eV per cell
ΔH_f (0 K): 79 meV/atom

Structure (extended XYZ):
```
4
Lattice="4.2816 0.0000 0.0000 0.0000 4.2816 0.0000 0.0000 0.0000 3.7741" Properties=species:S:1:pos:R:3 pbc="T T T"
Au 0.0000 2.1408 1.8871
La 2.1408 0.0000 1.8871
Co 2.1408 2.1408 0.0000
Co 0.0000 0.0000 0.0000
```


12.
La2Nd2DyHo after structural relaxation, computed with GGA-PBE.

Magnetization: 0.0 Bohr magnetons per cell
DOS at the Fermi energy: 18.481 states/eV per cell
ΔH_f (0 K): 54 meV/atom

Structure (extended XYZ):
```
12
Lattice="5.7665 0.0000 0.0000 0.0000 7.1349 0.0000 0.0000 0.0000 9.9937" Properties=species:S:1:pos:R:3 pbc="T T T"
Ho 0.0000 0.0537 4.9959
Ho 0.0000 3.6212 4.9979
Nd 0.0000 1.8372 8.3437
Nd 0.0000 5.4046 1.6501
Nd 2.8833 5.4059 6.6754
Nd 2.8833 1.8384 3.3183
La 0.0000 5.4068 8.2274
La 2.8833 0.0545 0.0030
La 2.8833 3.6220 9.9907
La 0.0000 1.8393 1.7664
Dy 2.8833 1.8371 6.5674
Dy 2.8833 5.4046 3.4263
```


13.
BeTePbI2 after structural relaxation, computed with GGA-PBE.

ΔE to the lowest computed polymorph: 787 meV/atom
Magnetization: 2.0 Bohr magnetons per cell
DOS at the Fermi energy: 5.931 states/eV per cell
Formation energy without anion corrections: 0.81 eV/atom

Structure (extended XYZ):
```
5
Lattice="6.6599 0.0000 0.0000 0.0000 6.6599 0.0000 0.0000 0.0000 7.0687" Properties=species:S:1:pos:R:3 pbc="T T T"
I 0.0000 3.3299 0.0000
I 3.3299 0.0000 0.0000
Be 3.3299 3.3299 3.5344
Te 0.0000 0.0000 3.5344
Pb 0.0000 0.0000 0.0000
```


14.
Mg3BTe after structural relaxation, computed with GGA-PBE.

ΔE to the lowest computed polymorph: 0 meV/atom
Magnetization: 0.0 Bohr magnetons per cell
DOS at the Fermi energy: 4.122 states/eV per cell
Formation energy without anion corrections: -0.07 eV/atom

Structure (extended XYZ):
```
5
Lattice="-0.8572 -1.8662 4.1769 4.5089 0.3745 1.0926 -0.7741 4.2475 1.7389" Properties=species:S:1:pos:R:3 pbc="T T T"
B 0.0000 0.0000 0.0000
Mg -0.3871 2.1237 0.8694
Mg -0.4286 -0.9331 2.0885
Mg 2.2545 0.1872 0.5463
Te 1.4388 1.3779 3.5042
```


15.
TaAuBr after structural relaxation, computed with GGA-PBE.

ΔE to the lowest computed polymorph: 106 meV/atom
Magnetization: 0.0 Bohr magnetons per cell
DOS at the Fermi energy: 2.336 states/eV per cell
Formation energy without anion corrections: 0.11 eV/atom

Structure (extended XYZ):
```
3
Lattice="7.2504 -0.0074 0.0077 6.5837 3.0355 0.0113 0.6667 0.1396 3.0397" Properties=species:S:1:pos:R:3 pbc="T T T"
Ta 9.4474 2.0658 1.0253
Br 4.5151 0.9838 2.1568
Au 1.2050 0.2577 2.9162
```


16.
GdHo2Fe after structural relaxation, computed with GGA-PBE.

ΔE to the lowest computed polymorph: 282 meV/atom
Magnetization: 6.4 Bohr magnetons per cell
DOS at the Fermi energy: 7.489 states/eV per cell
ΔH_f (0 K): 354 meV/atom

Structure (extended XYZ):
```
4
Lattice="5.1750 0.0000 0.0000 2.5875 4.4817 0.0000 2.5875 1.4939 4.2247" Properties=species:S:1:pos:R:3 pbc="T T T"
Fe 0.0000 0.0000 0.0000
Ho 2.5875 1.4939 1.0555
Ho 7.7625 4.4817 3.1693
Gd 5.1750 2.9878 2.1124
```


17.
Ta2Co2W after structural relaxation, computed with GGA-PBE.

ΔE to the lowest computed polymorph: 504 meV/atom
Magnetization: 0.0 Bohr magnetons per cell
DOS at the Fermi energy: 5.738 states/eV per cell
ΔH_f (0 K): 472 meV/atom

Structure (extended XYZ):
```
5
Lattice="3.8967 0.0000 0.0000 0.0000 3.8967 0.0000 1.9484 1.9484 5.1564" Properties=species:S:1:pos:R:3 pbc="T T T"
Ta 3.8967 1.9484 2.5782
Ta 1.9484 3.8967 2.5782
Co 1.9484 1.9484 1.0515
Co 3.8967 3.8967 4.1049
W 0.0000 0.0000 0.0000
```


18.
Np2InBi after structural relaxation, computed with GGA-PBE.

Magnetization: 9.7 Bohr magnetons per cell
DOS at the Fermi energy: 13.146 states/eV per cell
ΔH_f (0 K): 153 meV/atom

Structure (extended XYZ):
```
4
Lattice="-0.6811 -3.2887 3.3912 1.6646 -3.3373 -2.9021 4.3709 0.7686 1.6232" Properties=species:S:1:pos:R:3 pbc="T T T"
Np 0.8323 -1.6686 -1.4510
Np 2.1854 0.3843 0.8116
Bi -0.3406 -1.6443 1.6956
In 2.6772 -2.9287 1.0562
```


19.
Li6PmSi2 after structural relaxation, computed with GGA-PBE.

Magnetization: 0.0 Bohr magnetons per cell
DOS at the Fermi energy: 6.918 states/eV per cell
Formation energy without anion corrections: -0.24 eV/atom

Structure (extended XYZ):
```
9
Lattice="4.2159 0.0000 0.0000 0.0000 4.2159 0.0000 0.0000 0.0000 9.5499" Properties=species:S:1:pos:R:3 pbc="T T T"
Si 2.1079 2.1079 1.1692
Si 2.1079 2.1079 8.3807
Li 2.1079 2.1079 4.7749
Li 2.1079 0.0000 2.6642
Li 0.0000 0.0000 4.7749
Li 0.0000 2.1079 2.6642
Li 0.0000 2.1079 6.8856
Li 2.1079 0.0000 6.8856
Pm 0.0000 0.0000 0.0000
```


20.
Te4OsBr after structural relaxation, computed with GGA-PBE.

Magnetization: 3.7 Bohr magnetons per cell
DOS at the Fermi energy: 10.273 states/eV per cell
Formation energy without anion corrections: 1.24 eV/atom

Structure (extended XYZ):
```
6
Lattice="-0.4735 -6.1949 -0.5891 -2.6239 -3.3753 4.5464 -5.5877 -2.6313 -0.8951" Properties=species:S:1:pos:R:3 pbc="T T T"
Te -4.5707 -6.2645 3.4368
Te -3.4869 -7.6857 0.8483
Te -3.2482 -4.5632 1.1452
Te -6.0646 -5.8895 0.6940
Br -6.5139 -9.1511 2.2966
Os 0.0000 0.0000 0.0000
```


21.
NaNdEuHg after structural relaxation, computed with GGA-PBE.

Magnetization: 7.2 Bohr magnetons per cell
DOS at the Fermi energy: 9.387 states/eV per cell
ΔH_f (0 K): -114 meV/atom

Structure (extended XYZ):
```
4
Lattice="-1.1653 -4.7597 -2.6705 2.6588 -1.2623 -4.7414 3.7409 -4.1403 -0.0842" Properties=species:S:1:pos:R:3 pbc="T T T"
Hg 2.6172 -5.0811 -3.7480
Eu 3.9259 -7.6217 -5.6220
Nd 1.3086 -2.5406 -1.8740
Na 0.0000 0.0000 0.0000
```


22.
Sr2AlZn3In4 after structural relaxation, computed with GGA-PBE.

Magnetization: 0.0 Bohr magnetons per cell
DOS at the Fermi energy: 4.594 states/eV per cell
ΔH_f (0 K): -270 meV/atom

Structure (extended XYZ):
```
10
Lattice="4.5951 0.0000 0.0000 0.0000 4.5951 0.0000 0.0000 0.0000 11.7192" Properties=species:S:1:pos:R:3 pbc="T T T"
Sr 0.0000 2.2975 8.7296
Sr 2.2975 0.0000 2.9896
Zn 0.0000 2.2975 1.6400
Zn 0.0000 0.0000 5.8596
Zn 2.2975 0.0000 10.0792
Al 2.2975 2.2975 5.8596
In 2.2975 2.2975 0.0000
In 0.0000 0.0000 0.0000
In 2.2975 0.0000 7.4328
In 0.0000 2.2975 4.2864
```


23.
NpVH2 after structural relaxation, computed with GGA-PBE.

ΔE to the lowest computed polymorph: 487 meV/atom
Magnetization: 3.1 Bohr magnetons per cell
DOS at the Fermi energy: 3.861 states/eV per cell

Structure (extended XYZ):
```
4
Lattice="-0.9316 -1.6175 1.9783 0.8904 -3.1380 -2.1464 3.5589 -0.0875 1.6043" Properties=species:S:1:pos:R:3 pbc="T T T"
H 1.7795 -0.0438 0.8021
H 0.4452 -1.5690 -1.0732
Np 1.7589 -2.4215 0.7181
V -0.4658 -0.8088 0.9892
```


24.
Tb3Pm2Tl4 after structural relaxation, computed with GGA-PBE.

ΔE to the lowest computed polymorph: 0 meV/atom
Magnetization: 0.0 Bohr magnetons per cell
DOS at the Fermi energy: 7.998 states/eV per cell
ΔH_f (0 K): -306 meV/atom

Structure (extended XYZ):
```
9
Lattice="5.3306 0.0006 0.0009 2.6648 4.6131 0.1835 -0.0019 -0.4225 10.6714" Properties=species:S:1:pos:R:3 pbc="T T T"
Pm 2.6637 1.2087 8.3597
Pm 5.3298 2.9824 2.4962
Tl 2.6636 4.3362 7.1337
Tl 5.3286 2.6965 9.7035
Tl 2.6649 1.4946 1.1523
Tl 5.3299 -0.1451 3.7221
Tb 0.0000 0.0000 0.0000
Tb 5.3292 2.8319 6.2578
Tb 2.6643 1.3592 4.5980
```


25.
NaB2AsAu after structural relaxation, computed with GGA-PBE.

Magnetization: 0.0 Bohr magnetons per cell
DOS at the Fermi energy: 2.168 states/eV per cell
ΔH_f (0 K): 1166 meV/atom

Structure (extended XYZ):
```
5
Lattice="4.2146 0.0000 0.0000 0.0000 5.2239 0.0000 0.0000 0.0000 4.2146" Properties=species:S:1:pos:R:3 pbc="T T T"
B 2.1073 0.0000 0.0000
B 0.0000 0.0000 2.1073
Au 0.0000 2.6120 0.0000
Na 2.1073 2.6120 2.1073
As 0.0000 0.0000 0.0000
```


26.
CsPaZnS4 after structural relaxation, computed with GGA-PBE.

Magnetization: 0.0 Bohr magnetons per cell
Formation energy without anion corrections: -1.10 eV/atom

Structure (extended XYZ):
```
14
Lattice="-1.9287 -5.0622 4.4561 -0.6011 -2.5089 -8.6312 7.5383 0.1232 3.4027" Properties=species:S:1:pos:R:3 pbc="T T T"
S 1.8150 -3.1001 -2.7362
S 0.4765 -3.6868 4.1047
S 4.7050 -3.0529 -1.4318
S 3.1935 -4.3479 1.9637
S 1.3729 -1.3340 2.0337
S 3.6356 -6.1139 -2.8061
S 0.3035 -4.3951 0.6593
S 4.5320 -3.7612 -4.8772
Cs 6.4401 -1.6841 0.8742
Cs -1.4316 -5.7639 -1.6467
Pa -0.9643 -2.5311 2.2280
Pa 2.8048 -2.4695 3.9294
Zn 2.5043 -3.7240 -0.3862
Zn 3.4686 -1.1929 -2.6143
```